Entry 1:
A geometry-optimized K2BaTl6 structure, computed with PBE.

Results
* total magnetization: 0.00 Bohr magnetons per cell
* energy relative to the elements: -0.158 eV/atom
* final energy: -2.19 eV/atom

```
data_K2BaTl6
_cell_length_a 9.5415
_cell_length_b 9.5415
_cell_length_c 3.9555
_cell_angle_alpha 90.00
_cell_angle_beta 90.00
_cell_angle_gamma 120.00
_space_group_name_H-M_alt 'P 6/m m m'
_space_group_IT_number 191
_space_group_name_Hall '-P 6 2'
loop_
_atom_site_label
_atom_site_fract_x
_atom_site_fract_y
_atom_site_fract_z
K1 0.3333 0.6667 0.0000
Ba1 0.0000 0.0000 0.0000
Tl1 0.0000 0.3343 0.5000
```


Entry 2:
A geometry-optimized KBaTl4 structure, computed with PBE.

Results
* total magnetization: 0.00 Bohr magnetons per cell
* energy relative to the elements: -0.205 eV/atom
* energy above the lowest structure with this stoichiometry: 0.0 kJ per mole of atoms
* final energy: -2.29 eV/atom

```
data_KBaTl4
_cell_length_a 4.025
_cell_length_b 5.515
_cell_length_c 9.505
_cell_angle_alpha 90.00
_cell_angle_beta 90.00
_cell_angle_gamma 90.00
_space_group_name_H-M_alt 'P m m m'
_space_group_IT_number 47
_space_group_name_Hall '-P 2 2'
loop_
_atom_site_label
_atom_site_fract_x
_atom_site_fract_y
_atom_site_fract_z
K1 0.000 0.000 0.000
Ba1 0.000 0.500 0.500
Tl1 0.500 0.000 0.333
Tl2 0.500 0.500 0.166
```


Entry 3:
A geometry-optimized KBa2Tl structure, computed with PBE.

Results
* total magnetization: 0.00 Bohr magnetons per cell
* energy relative to the elements: 0.130 eV/atom
* final energy: -1.70 eV/atom

```
data_KBa2Tl
_cell_length_a 5.613
_cell_length_b 5.613
_cell_length_c 25.872
_cell_angle_alpha 90.00
_cell_angle_beta 90.00
_cell_angle_gamma 90.00
_space_group_name_H-M_alt 'I -4 2 d'
_space_group_IT_number 122
_space_group_name_Hall 'I -4 2bw'
loop_
_atom_site_label
_atom_site_fract_x
_atom_site_fract_y
_atom_site_fract_z
K1 0.000 0.000 0.000
Ba1 0.226 0.250 0.625
Tl1 0.000 0.000 0.500
```


Entry 4:
A geometry-optimized K2BaTl structure, computed with PBE.

Results
* total magnetization: 0.00 Bohr magnetons per cell
* energy relative to the elements: 0.008 eV/atom
* energy above the lowest structure with this stoichiometry: 11.8 kJ per mole of atoms
* final energy: -1.61 eV/atom

```
data_K2BaTl
_cell_length_a 4.372
_cell_length_b 7.109
_cell_length_c 6.413
_cell_angle_alpha 90.00
_cell_angle_beta 94.15
_cell_angle_gamma 90.00
_space_group_name_H-M_alt 'P 1 2/m 1'
_space_group_IT_number 10
_space_group_name_Hall '-P 2y'
loop_
_atom_site_label
_atom_site_fract_x
_atom_site_fract_y
_atom_site_fract_z
K1 0.215 0.000 0.272
Ba1 0.500 0.500 0.000
Tl1 0.000 0.500 0.500
```